1.
The following is a GGA-PBE calculation of crystalline ZrFeSe2 at its relaxed geometry, from Alexandria.

Cell lengths 10.215, 3.526, 4.434 Å; angles 90.00, 94.89, 90.00 degrees
Fractional positions:
Zr  0.000  0.000  0.000
Zr  0.500  0.500  0.000
Fe  0.299  0.000  0.757
Fe  0.799  0.500  0.757
Se  0.237  0.500  0.095
Se  0.493  0.000  0.515
Se  0.737  0.000  0.095
Se  0.993  0.500  0.515

energy relative to the elements, uncorrected	-2.19	eV per formula unit
mass density	6.37	Mg/m³
E	-6.544	eV/atom
DOS at the Fermi energy	2.0	states/eV/f.u.
space-group type	Cm, No. 8
E above lowest polymorph	49.9	kJ/mol of formula units

2.
The following is a GGA-PBE calculation of crystalline RbSc2CrCl8 at its relaxed geometry, from Alexandria.

Cell lengths 9.041, 9.041, 9.041 Å; angles 44.43, 44.43, 44.43 degrees
Fractional positions:
Rb  0.000  0.000  0.000
Sc  0.198  0.198  0.198
Sc  0.802  0.802  0.802
Cr  0.500  0.500  0.500
Cl  0.142  0.393  0.822
Cl  0.178  0.858  0.607
Cl  0.297  0.297  0.297
Cl  0.393  0.822  0.142
Cl  0.607  0.178  0.858
Cl  0.703  0.703  0.703
Cl  0.822  0.142  0.393
Cl  0.858  0.607  0.178

energy relative to the elements, uncorrected	-20.20	eV per formula unit
mass density	2.58	Mg/m³
E	-4.852	eV/atom
DOS at the Fermi energy	4.3	states/eV/f.u.
space-group type	R-3, No. 148

3.
The following is a GGA-PBE calculation of crystalline K2PaTe2Se2 at its relaxed geometry, from Alexandria.

Cell lengths 17.016, 4.715, 6.794 Å; angles 90.00, 107.93, 90.00 degrees
Fractional positions:
K  0.195  0.000  0.209
K  0.305  0.500  0.791
K  0.695  0.500  0.209
K  0.805  0.000  0.791
Pa  0.000  0.000  0.500
Pa  0.500  0.500  0.500
Te  0.036  0.500  0.241
Te  0.464  0.000  0.759
Te  0.536  0.000  0.241
Te  0.964  0.500  0.759
Se  0.161  0.000  0.696
Se  0.339  0.500  0.304
Se  0.661  0.500  0.696
Se  0.839  0.000  0.304

energy relative to the elements, uncorrected	-7.14	eV per formula unit
mass density	4.63	Mg/m³
E	-4.583	eV/atom
DOS at the Fermi energy	3.8	states/eV/f.u.
space-group type	C2/m, No. 12

4.
The following is a GGA-PBE calculation of crystalline VAg3Pd12 at its relaxed geometry, from Alexandria.

Cell lengths 3.968, 3.968, 15.866 Å; angles 90.00, 90.00, 90.00 degrees
Fractional positions:
V  0.000  0.000  0.000
Ag  0.000  0.000  0.246
Ag  0.000  0.000  0.500
Ag  0.000  0.000  0.754
Pd  0.000  0.500  0.116
Pd  0.000  0.500  0.373
Pd  0.000  0.500  0.627
Pd  0.000  0.500  0.884
Pd  0.500  0.000  0.116
Pd  0.500  0.000  0.373
Pd  0.500  0.000  0.627
Pd  0.500  0.000  0.884
Pd  0.500  0.500  0.000
Pd  0.500  0.500  0.245
Pd  0.500  0.500  0.500
Pd  0.500  0.500  0.755

E_form	-7.55	kJ/mol of atoms
mass density	10.98	Mg/m³
E	-5.077	eV/atom
DOS at the Fermi energy	19.9	states/eV/f.u.
space-group type	P4/mmm, No. 123

5.
The following is a GGA-PBE calculation of crystalline InNiSn2Hg at its relaxed geometry, from Alexandria.

Cell lengths 5.019, 5.019, 5.058 Å; angles 90.00, 90.00, 90.00 degrees
Fractional positions:
In  0.000  0.000  0.000
Ni  0.000  0.000  0.500
Sn  0.000  0.500  0.500
Sn  0.500  0.000  0.500
Hg  0.500  0.500  0.000

E_form	1.43	kJ/mol of atoms
mass density	7.97	Mg/m³
E	-3.351	eV/atom
DOS at the Fermi energy	2.6	states/eV/f.u.
space-group type	P4/mmm, No. 123
E above lowest polymorph	0.0	kJ/mol of formula units

6.
The following is a GGA-PBE calculation of crystalline Y4ThGe4 at its relaxed geometry, from Alexandria.

Cell lengths 7.209, 7.209, 7.209 Å; angles 99.37, 99.37, 132.42 degrees
Fractional positions:
Y  0.102  0.308  0.410
Y  0.308  0.898  0.205
Y  0.692  0.102  0.795
Y  0.898  0.692  0.590
Th  0.500  0.500  0.000
Ge  0.202  0.605  0.807
Ge  0.395  0.202  0.596
Ge  0.605  0.798  0.404
Ge  0.798  0.395  0.193

E_form	-60.09	kJ/mol of atoms
mass density	5.76	Mg/m³
E	-6.372	eV/atom
DOS at the Fermi energy	7.6	states/eV/f.u.
space-group type	I4/m, No. 87

7.
The following is a GGA-PBE calculation of crystalline MnZn2Cl8 at its relaxed geometry, from Alexandria.

Cell lengths 7.128, 7.128, 7.248 Å; angles 90.00, 90.00, 120.00 degrees
Fractional positions:
Mn  0.000  0.000  0.000
Zn  0.333  0.667  0.261
Zn  0.667  0.333  0.739
Cl  0.149  0.297  0.196
Cl  0.149  0.851  0.196
Cl  0.297  0.149  0.804
Cl  0.333  0.667  0.562
Cl  0.667  0.333  0.438
Cl  0.703  0.851  0.196
Cl  0.851  0.149  0.804
Cl  0.851  0.703  0.804

energy relative to the elements, uncorrected	-8.80	eV per formula unit
mass density	2.44	Mg/m³
E	-3.208	eV/atom
space-group type	P-3m1, No. 164

8.
The following is a GGA-PBE calculation of crystalline CdCo2Pb at its relaxed geometry, from Alexandria.

Cell lengths 3.134, 3.134, 24.672 Å; angles 90.00, 90.00, 120.00 degrees
Fractional positions:
Cd  0.000  0.000  0.000
Cd  0.333  0.667  0.667
Cd  0.667  0.333  0.333
Co  0.000  0.000  0.250
Co  0.000  0.000  0.750
Co  0.333  0.667  0.417
Co  0.333  0.667  0.916
Co  0.667  0.333  0.084
Co  0.667  0.333  0.583
Pb  0.000  0.000  0.500
Pb  0.333  0.667  0.167
Pb  0.667  0.333  0.833

E_form	58.86	kJ/mol of atoms
mass density	10.39	Mg/m³
E	-4.099	eV/atom
DOS at the Fermi energy	4.8	states/eV/f.u.
space-group type	R-3m, No. 166
E above lowest polymorph	118.9	kJ/mol of formula units

9.
The following is a GGA-PBE calculation of crystalline BaZr2Ru at its relaxed geometry, from Alexandria.

Cell lengths 4.329, 4.329, 5.074 Å; angles 90.00, 90.00, 90.00 degrees
Fractional positions:
Ba  0.000  0.000  0.000
Zr  0.000  0.500  0.500
Zr  0.500  0.000  0.500
Ru  0.500  0.500  0.000

E_form	69.51	kJ/mol of atoms
mass density	7.35	Mg/m³
E	-6.353	eV/atom
DOS at the Fermi energy	6.5	states/eV/f.u.
space-group type	P4/mmm, No. 123
E above lowest polymorph	247.5	kJ/mol of formula units

10.
The following is a GGA-PBE calculation of crystalline PaCuH3 at its relaxed geometry, from Alexandria.

Cell lengths 6.287, 4.440, 7.215 Å; angles 90.00, 90.00, 90.00 degrees
Fractional positions:
Pa  0.248  0.250  0.094
Pa  0.252  0.750  0.594
Pa  0.748  0.250  0.406
Pa  0.752  0.750  0.906
Cu  0.008  0.750  0.265
Cu  0.492  0.250  0.765
Cu  0.508  0.750  0.235
Cu  0.992  0.250  0.735
H  0.085  0.540  0.862
H  0.085  0.960  0.862
H  0.102  0.250  0.507
H  0.398  0.750  0.007
H  0.415  0.040  0.362
H  0.415  0.460  0.362
H  0.585  0.540  0.638
H  0.585  0.960  0.638
H  0.602  0.250  0.993
H  0.898  0.750  0.493
H  0.915  0.040  0.138
H  0.915  0.460  0.138

mass density	9.82	Mg/m³
E	-4.872	eV/atom
DOS at the Fermi energy	3.4	states/eV/f.u.
space-group type	Pnma, No. 62

11.
The following is a GGA-PBE calculation of crystalline LiHO at its relaxed geometry, from Alexandria.

Cell lengths 3.464, 3.464, 6.914 Å; angles 90.00, 90.00, 120.00 degrees
Fractional positions:
Li  0.000  0.000  0.000
Li  0.333  0.667  0.667
Li  0.667  0.333  0.333
H  0.000  0.000  0.427
H  0.333  0.667  0.094
H  0.667  0.333  0.761
O  0.000  0.000  0.286
O  0.333  0.667  0.952
O  0.667  0.333  0.619

mass density	1.66	Mg/m³
E	-4.901	eV/atom
DOS at the Fermi energy	0.0	states/eV/f.u.
space-group type	R3m, No. 160
E above lowest polymorph	18.6	kJ/mol of formula units

12.
The following is a GGA-PBE calculation of crystalline AlSb2TeBr at its relaxed geometry, from Alexandria.

Cell lengths 5.510, 5.510, 5.852 Å; angles 90.00, 90.00, 90.00 degrees
Fractional positions:
Al  0.000  0.000  0.000
Sb  0.000  0.500  0.500
Sb  0.500  0.000  0.500
Te  0.500  0.500  0.000
Br  0.500  0.500  0.500

energy relative to the elements, uncorrected	4.77	eV per formula unit
mass density	4.47	Mg/m³
E	-2.406	eV/atom
DOS at the Fermi energy	7.4	states/eV/f.u.
space-group type	P4/mmm, No. 123
E above lowest polymorph	292.9	kJ/mol of formula units

13.
The following is a GGA-PBE calculation of crystalline KY2HfCd at its relaxed geometry, from Alexandria.

Cell lengths 5.778, 5.778, 5.497 Å; angles 90.00, 90.00, 90.00 degrees
Fractional positions:
K  0.000  0.000  0.000
Y  0.000  0.500  0.500
Y  0.500  0.000  0.500
Hf  0.500  0.500  0.000
Cd  0.500  0.500  0.500

E_form	75.23	kJ/mol of atoms
mass density	4.60	Mg/m³
E	-4.199	eV/atom
DOS at the Fermi energy	9.1	states/eV/f.u.
space-group type	P4/mmm, No. 123

14.
The following is a GGA-PBE calculation of crystalline Ce2Pu2Hg2C at its relaxed geometry, from Alexandria.

Cell lengths 11.810, 3.702, 7.343 Å; angles 90.00, 104.67, 90.00 degrees
Fractional positions:
Ce  0.012  0.000  0.243
Ce  0.488  0.500  0.757
Ce  0.512  0.500  0.243
Ce  0.988  0.000  0.757
Pu  0.201  0.500  0.037
Pu  0.299  0.000  0.963
Pu  0.701  0.000  0.037
Pu  0.799  0.500  0.963
Hg  0.176  0.500  0.589
Hg  0.324  0.000  0.411
Hg  0.676  0.000  0.589
Hg  0.824  0.500  0.411
C  0.000  0.500  0.000
C  0.500  0.000  0.000

E_form	-10.58	kJ/mol of atoms
mass density	12.63	Mg/m³
E	-7.304	eV/atom
DOS at the Fermi energy	14.7	states/eV/f.u.
space-group type	C2/m, No. 12

15.
The following is a GGA-PBE calculation of crystalline AlHNF2 at its relaxed geometry, from Alexandria.

Cell lengths 3.018, 3.018, 4.379 Å; angles 90.00, 90.00, 90.00 degrees
Fractional positions:
Al  0.000  0.000  0.000
H  0.500  0.500  0.500
N  0.500  0.500  0.000
F  0.000  0.500  0.500
F  0.500  0.000  0.500

mass density	3.33	Mg/m³
E	-4.257	eV/atom
DOS at the Fermi energy	0.5	states/eV/f.u.
space-group type	P4/mmm, No. 123
E above lowest polymorph	265.7	kJ/mol of formula units

16.
The following is a GGA-PBE calculation of crystalline CsAlAgS2 at its relaxed geometry, from Alexandria.

Cell lengths 7.301, 7.301, 8.517 Å; angles 90.00, 90.00, 133.72 degrees
Fractional positions:
Cs  0.250  0.750  0.774
Cs  0.750  0.250  0.226
Al  0.250  0.250  0.000
Al  0.750  0.750  0.000
Ag  0.000  0.000  0.500
Ag  0.500  0.500  0.500
S  0.093  0.907  0.144
S  0.407  0.593  0.144
S  0.593  0.407  0.856
S  0.907  0.093  0.856

energy relative to the elements, uncorrected	-3.91	eV per formula unit
mass density	3.36	Mg/m³
E	-3.922	eV/atom
DOS at the Fermi energy	1.1	states/eV/f.u.
space-group type	Cmme, No. 67
E above lowest polymorph	0.0	kJ/mol of formula units

17.
The following is a GGA-PBE calculation of crystalline CsLi2AcCl6 at its relaxed geometry, from Alexandria.

Cell lengths 7.548, 7.548, 7.548 Å; angles 56.96, 56.96, 56.96 degrees
Fractional positions:
Cs  0.000  0.000  0.000
Li  0.254  0.254  0.254
Li  0.760  0.760  0.760
Ac  0.467  0.467  0.467
Cl  0.033  0.485  0.557
Cl  0.142  0.905  0.509
Cl  0.485  0.557  0.033
Cl  0.509  0.142  0.905
Cl  0.557  0.033  0.485
Cl  0.905  0.509  0.142

energy relative to the elements, uncorrected	-20.62	eV per formula unit
mass density	3.44	Mg/m³
E	-4.049	eV/atom
DOS at the Fermi energy	0.0	states/eV/f.u.
space-group type	R3, No. 146

18.
The following is a GGA-PBE calculation of crystalline Sc3Ge3Pd2 at its relaxed geometry, from Alexandria.

Cell lengths 7.800, 13.832, 5.481 Å; angles 90.00, 90.00, 90.00 degrees
Fractional positions:
Sc  0.043  0.113  0.129
Sc  0.043  0.387  0.129
Sc  0.195  0.250  0.630
Sc  0.305  0.750  0.130
Sc  0.457  0.613  0.629
Sc  0.457  0.887  0.629
Sc  0.543  0.113  0.371
Sc  0.543  0.387  0.371
Sc  0.695  0.250  0.870
Sc  0.805  0.750  0.370
Sc  0.957  0.613  0.871
Sc  0.957  0.887  0.871
Ge  0.180  0.750  0.634
Ge  0.215  0.041  0.581
Ge  0.215  0.459  0.581
Ge  0.285  0.541  0.081
Ge  0.285  0.959  0.081
Ge  0.320  0.250  0.134
Ge  0.680  0.750  0.866
Ge  0.715  0.041  0.919
Ge  0.715  0.459  0.919
Ge  0.785  0.541  0.419
Ge  0.785  0.959  0.419
Ge  0.820  0.250  0.366
Pd  0.078  0.608  0.377
Pd  0.078  0.892  0.377
Pd  0.422  0.108  0.877
Pd  0.422  0.392  0.877
Pd  0.578  0.608  0.123
Pd  0.578  0.892  0.123
Pd  0.922  0.108  0.623
Pd  0.922  0.392  0.623

E_form	-78.82	kJ/mol of atoms
mass density	6.35	Mg/m³
E	-6.221	eV/atom
DOS at the Fermi energy	3.5	states/eV/f.u.
space-group type	Pnma, No. 62

19.
The following is a GGA-PBE calculation of crystalline Tl16In12Te at its relaxed geometry, from Alexandria.

Cell lengths 10.416, 10.416, 10.326 Å; angles 108.83, 108.83, 110.38 degrees
Fractional positions:
Tl  0.000  0.000  0.000
Tl  0.001  0.643  0.355
Tl  0.003  0.003  0.353
Tl  0.281  0.599  0.951
Tl  0.312  0.312  0.064
Tl  0.320  0.717  0.669
Tl  0.358  0.358  0.709
Tl  0.398  0.999  0.032
Tl  0.400  0.681  0.352
Tl  0.599  0.281  0.951
Tl  0.643  0.001  0.355
Tl  0.680  0.998  0.750
Tl  0.681  0.400  0.352
Tl  0.717  0.320  0.669
Tl  0.998  0.680  0.750
Tl  0.999  0.398  0.032
In  0.005  0.373  0.541
In  0.181  0.995  0.718
In  0.182  0.810  0.162
In  0.186  0.365  0.347
In  0.365  0.186  0.347
In  0.373  0.005  0.541
In  0.622  0.622  0.162
In  0.632  0.820  0.985
In  0.802  0.802  0.528
In  0.810  0.182  0.162
In  0.820  0.632  0.985
In  0.995  0.181  0.718
Te  0.602  0.602  0.650

energy relative to the elements, uncorrected	0.02	eV per formula unit
mass density	9.15	Mg/m³
E	-2.546	eV/atom
DOS at the Fermi energy	12.7	states/eV/f.u.
space-group type	Cm, No. 8

20.
The following is a GGA-PBE calculation of crystalline Sr2MgCdO at its relaxed geometry, from Alexandria.

Cell lengths 5.361, 5.361, 4.341 Å; angles 90.00, 90.00, 90.00 degrees
Fractional positions:
Sr  0.000  0.500  0.000
Sr  0.500  0.000  0.000
Mg  0.000  0.000  0.500
Cd  0.500  0.500  0.500
O  0.000  0.000  0.000

energy relative to the elements, uncorrected	-5.44	eV per formula unit
mass density	4.36	Mg/m³
E	-3.254	eV/atom
DOS at the Fermi energy	2.7	states/eV/f.u.
space-group type	P4/mmm, No. 123

21.
The following is a GGA-PBE calculation of crystalline LiZnSi2 at its relaxed geometry, from Alexandria.

Cell lengths 3.806, 3.806, 3.957 Å; angles 90.00, 90.00, 90.00 degrees
Fractional positions:
Li  0.000  0.000  0.000
Zn  0.500  0.500  0.000
Si  0.000  0.500  0.500
Si  0.500  0.000  0.500

energy relative to the elements, uncorrected	0.27	eV per formula unit
mass density	3.72	Mg/m³
E	-3.440	eV/atom
DOS at the Fermi energy	2.4	states/eV/f.u.
space-group type	P4/mmm, No. 123

22.
The following is a GGA-PBE calculation of crystalline MnAsPt at its relaxed geometry, from Alexandria.

Cell lengths 6.010, 6.010, 6.010 Å; angles 90.00, 90.00, 90.00 degrees
Fractional positions:
Mn  0.000  0.000  0.000
Mn  0.000  0.500  0.500
Mn  0.500  0.000  0.500
Mn  0.500  0.500  0.000
As  0.000  0.000  0.500
As  0.000  0.500  0.000
As  0.500  0.000  0.000
As  0.500  0.500  0.500
Pt  0.250  0.250  0.750
Pt  0.250  0.750  0.250
Pt  0.750  0.250  0.250
Pt  0.750  0.750  0.750

E_form	-28.02	kJ/mol of atoms
mass density	9.94	Mg/m³
E	-6.910	eV/atom
DOS at the Fermi energy	0.9	states/eV/f.u.
space-group type	F-43m, No. 216

23.
The following is a GGA-PBE calculation of crystalline Zn2TcOs at its relaxed geometry, from Alexandria.

Cell lengths 2.831, 3.672, 5.555 Å; angles 90.00, 90.00, 90.00 degrees
Fractional positions:
Zn  0.000  0.000  0.000
Zn  0.500  0.500  0.226
Tc  0.000  0.000  0.509
Os  0.500  0.500  0.720

E_form	7.91	kJ/mol of atoms
mass density	12.05	Mg/m³
E	-5.954	eV/atom
DOS at the Fermi energy	2.0	states/eV/f.u.
space-group type	Pmm2, No. 25
E above lowest polymorph	38.3	kJ/mol of formula units